This record from Alexandria describes a geometry-optimized CaAl2Mo structure. The functional is PBE.

Calculated density = 4.30 Mg/m³
Space-group type = I4/mmm (139)
Calculated total energy = -4.982 eV per atom
Density of states at the Fermi level = 1.45 states/eV/cell
Energy relative to the lowest polymorph listed for this composition = 19.37 kJ per mole of atoms

Cell: 5.047 5.047 5.047 Å, 130.13 130.13 73.19°
Fractional coordinates of all 4 atoms:
Ca: 0.000 0.000 0.000
Al: 0.250 0.750 0.500
Al: 0.750 0.250 0.500
Mo: 0.500 0.500 0.000

=====

This record from Alexandria describes a geometry-optimized CaAlMo structure. The functional is PBE.

Calculated density = 4.51 Mg/m³
Space-group type = P3m1 (156)
Calculated total energy = -5.063 eV per atom
Density of states at the Fermi level = 2.13 states/eV/cell
Energy relative to the lowest polymorph listed for this composition = 19.70 kJ per mole of atoms

Cell: 3.061 3.061 7.391 Å, 90.00 90.00 120.00°
Fractional coordinates of all 3 atoms:
Ca: 0.000 0.000 0.000
Al: 0.333 0.667 0.631
Mo: 0.667 0.333 0.348

=====

This record from Alexandria describes a geometry-optimized CaAlMo structure. The functional is PBE.

Calculated density = 4.62 Mg/m³
Space-group type = Fmm2 (42)
Calculated total energy = -5.267 eV per atom
Density of states at the Fermi level = 1.44 states/eV/cell
Energy relative to the lowest polymorph listed for this composition = 0.00 kJ per mole of atoms

Cell: 7.358 7.357 2.879 Å, 78.74 78.70 22.56°
Fractional coordinates of all 3 atoms:
Ca: 0.000 0.000 0.000
Al: 0.681 0.681 0.319
Mo: 0.316 0.316 0.684

=====

This record from Alexandria describes a geometry-optimized CaAlMo4 structure. The functional is PBE.

Calculated density = 6.81 Mg/m³
Space-group type = F-43m (216)
Calculated total energy = -7.809 eV per atom
Density of states at the Fermi level = 6.53 states/eV/cell

Cell: 5.376 5.376 5.376 Å, 60.00 60.00 60.00°
Fractional coordinates of all 6 atoms:
Ca: 0.000 0.000 0.000
Al: 0.250 0.250 0.250
Mo: 0.125 0.625 0.625
Mo: 0.625 0.125 0.625
Mo: 0.625 0.625 0.125
Mo: 0.625 0.625 0.625

=====

This record from Alexandria describes a geometry-optimized CaAl2Mo structure. The functional is PBE.

Calculated density = 3.24 Mg/m³
Space-group type = I-42d (122)
Calculated total energy = -4.498 eV per atom
Density of states at the Fermi level = 1.18 states/eV/cell
Energy relative to the lowest polymorph listed for this composition = 66.11 kJ per mole of atoms

Cell: 9.692 9.692 9.692 Å, 152.44 152.44 39.38°
Fractional coordinates of all 8 atoms:
Ca: 0.000 0.000 0.000
Ca: 0.750 0.250 0.500
Al: 0.258 0.625 0.133
Al: 0.375 0.508 0.633
Al: 0.492 0.125 0.867
Al: 0.875 0.742 0.367
Mo: 0.250 0.750 0.500
Mo: 0.500 0.500 0.000

=====

This record from Alexandria describes a geometry-optimized CaAl2Mo structure. The functional is PBE.

Calculated density = 4.29 Mg/m³
Space-group type = F-43m (216)
Calculated total energy = -4.656 eV per atom
Density of states at the Fermi level = 3.78 states/eV/cell
Energy relative to the lowest polymorph listed for this composition = 50.84 kJ per mole of atoms

Cell: 4.704 4.704 4.704 Å, 60.00 60.00 60.00°
Fractional coordinates of all 4 atoms:
Ca: 0.000 0.000 0.000
Al: 0.500 0.500 0.500
Al: 0.750 0.750 0.750
Mo: 0.250 0.250 0.250

=====

This record from Alexandria describes a geometry-optimized Ca3AlMo structure. The functional is PBE.

Calculated density = 2.09 Mg/m³
Space-group type = Pm-3m (221)
Calculated total energy = -3.156 eV per atom
Density of states at the Fermi level = 1.93 states/eV/cell
Energy relative to the lowest polymorph listed for this composition = 4.98 kJ per mole of atoms

Cell: 5.785 5.785 5.785 Å, 90.00 90.00 90.00°
Fractional coordinates of all 5 atoms:
Ca: 0.000 0.000 0.500
Ca: 0.000 0.500 0.000
Ca: 0.500 0.000 0.000
Al: 0.000 0.000 0.000
Mo: 0.500 0.500 0.500

=====

This record from Alexandria describes a geometry-optimized CaAl2Mo structure. The functional is PBE.

Calculated density = 4.22 Mg/m³
Space-group type = P4mm (99)
Calculated total energy = -4.887 eV per atom
Density of states at the Fermi level = 1.51 states/eV/cell
Energy relative to the lowest polymorph listed for this composition = 28.53 kJ per mole of atoms

Cell: 2.888 2.888 8.962 Å, 90.00 90.00 90.00°
Fractional coordinates of all 4 atoms:
Ca: 0.000 0.000 0.000
Al: 0.000 0.000 0.496
Al: 0.500 0.500 0.716
Mo: 0.500 0.500 0.285

=====

Number 1: formation energy from the elements 38 kJ/mol of formula units. Number 2: formation energy from the elements 134 kJ/mol of formula units. Number 3: formation energy from the elements 75 kJ/mol of formula units. Number 4: formation energy from the elements 214 kJ/mol of formula units. Number 5: formation energy from the elements 224 kJ/mol of formula units. Number 6: formation energy from the elements 163 kJ/mol of formula units. Number 7: formation energy from the elements 463 kJ/mol of formula units. Number 8: formation energy from the elements 74 kJ/mol of formula units.